# SiPbSe2

An optimized crystal structure of SiPbSe2 (PBE, Alexandria).

Structure (extended XYZ):
```
4
Lattice="-2.5681 -1.1887 2.1169 -2.1108 -0.4293 -2.8018 2.8910 -7.9538 -0.9592" Properties=species:S:1:pos:R:3 pbc="T T T"
Se 2.7696 -7.6198 -0.9189
Se -1.3892 -3.4232 -0.6577
Pb -0.0957 -6.9821 -1.0869
Si 1.2639 -3.4773 -0.4193
```

Computed properties:
SG   P4mm, No. 99
ΔE_f (raw)   0.069 eV per atom
Spin magnetization   0.00 μB per cell
Offset from the most stable computed form   299 meV/atom
V   106.38 Å³ per cell
Crystal system   tetragonal
N(E_F)   1.7 states/eV/cell
VASP energy   -15.83 eV/cell